Entry 1:
{"formula": "Th4InBi", "functional": "PBE-GGA", "state": "optimized geometry", "density_g_cm3": 10.9, "vol_a3_per_atom": 31.82, "delta_e_f_ev_per_atom": -0.272, "polymorph_energy_kj_per_mol_atoms": 0.00, "cell": [[7.716, 0.000, 0.000], [0.000, 7.716, 0.000], [0.000, 0.000, 6.413]], "species": ["Th", "Th", "Th", "Th", "Th", "Th", "Th", "Th", "In", "In", "Bi", "Bi"], "frac_coords": [[0.149, 0.343, 0.000], [0.149, 0.657, 0.500], [0.343, 0.149, 0.500], [0.343, 0.851, 0.000], [0.657, 0.149, 0.000], [0.657, 0.851, 0.500], [0.851, 0.343, 0.500], [0.851, 0.657, 0.000], [0.000, 0.000, 0.250], [0.000, 0.000, 0.750], [0.500, 0.500, 0.250], [0.500, 0.500, 0.750]]}

***

Entry 2:
{"formula": "CsBaTe2Au", "functional": "PBE-GGA", "state": "optimized geometry", "density_g_cm3": 4.8, "vol_a3_per_atom": 50.02, "final_energy_ev_per_cell": -35.26, "cell": [[4.659, -9.227, 0.000], [4.659, 9.227, 0.000], [0.000, 0.000, 5.818]], "species": ["Cs", "Cs", "Ba", "Ba", "Te", "Te", "Te", "Te", "Au", "Au"], "frac_coords": [[0.250, 0.750, 0.758], [0.750, 0.250, 0.242], [0.250, 0.250, 0.500], [0.750, 0.750, 0.500], [0.117, 0.883, 0.256], [0.383, 0.617, 0.256], [0.617, 0.383, 0.744], [0.883, 0.117, 0.744], [0.000, 0.000, 0.000], [0.500, 0.500, 0.000]]}

***

Entry 3:
{"formula": "La2SnSb3Rh4", "functional": "PBE-GGA", "state": "optimized geometry", "density_g_cm3": 8.8, "vol_a3_per_atom": 22.02, "final_energy_ev_per_cell": -64.19, "cell": [[4.543, 0.000, 0.000], [0.000, 4.543, 0.000], [0.000, 0.000, 10.669]], "species": ["La", "La", "Sn", "Sb", "Sb", "Sb", "Rh", "Rh", "Rh", "Rh"], "frac_coords": [[0.000, 0.500, 0.248], [0.500, 0.000, 0.752], [0.000, 0.000, 0.500], [0.000, 0.500, 0.870], [0.500, 0.000, 0.130], [0.500, 0.500, 0.500], [0.000, 0.000, 0.000], [0.000, 0.500, 0.628], [0.500, 0.000, 0.372], [0.500, 0.500, 0.000]]}

***

Entry 4:
{"formula": "CdBRh3", "functional": "PBE-GGA", "state": "optimized geometry", "density_g_cm3": 6.8, "vol_a3_per_atom": 20.97, "delta_e_f_ev_per_atom": 0.717, "polymorph_energy_kj_per_mol_atoms": 89.49, "cell": [[-2.285, 2.285, 10.043], [2.285, -2.285, 10.043], [2.285, 2.285, -10.043]], "species": ["Cd", "Cd", "B", "B", "Rh", "Rh", "Rh", "Rh", "Rh", "Rh"], "frac_coords": [[0.000, 0.000, 0.000], [0.750, 0.250, 0.500], [0.135, 0.635, 0.500], [0.365, 0.865, 0.500], [0.360, 0.360, 0.000], [0.370, 0.125, 0.245], [0.640, 0.640, 0.000], [0.875, 0.120, 0.245], [0.875, 0.630, 0.755], [0.880, 0.125, 0.755]]}